Entry 1:
A plane-wave DFT calculation with GGA-PBE was carried out for a relaxed Er2ThCo2 crystal.

Lattice parameters (Å, degrees): 5.9836 6.0758 7.1072 99.33 90.00 119.50
Element x y z (fractional)
Co (0.3117, 0.3122, 0.5088)
Co (0.9995, 0.6878, 0.9912)
Co (0.0005, 0.3122, 0.0088)
Co (0.6883, 0.6878, 0.4912)
Th (0.0894, 0.0000, 0.7500)
Th (0.9106, 0.0000, 0.2500)
Er (0.4493, 0.6866, 0.8467)
Er (0.5507, 0.3134, 0.1533)
Er (0.7627, 0.3134, 0.6533)
Er (0.2373, 0.6866, 0.3467)

- final energy (eV per atom) = -6.425
- density of states at the Fermi level (states/eV/f.u.) = 4.3
- symmetry = C2/c (15)
- ρ (g/cm³) = 10.29

***

Entry 2:
A plane-wave DFT calculation with GGA-PBE was carried out for a relaxed TeRhCl2 crystal.

Lattice parameters (Å, degrees): 6.8351 6.8351 6.8351 153.68 133.44 54.27
Element x y z (fractional)
Rh (0.7500, 0.2500, 0.5000)
Cl (0.8987, 0.8987, 0.0000)
Cl (0.6013, 0.6013, 0.0000)
Te (0.2500, 0.7500, 0.5000)

- density of states at the Fermi level (states/eV/f.u.) = 1.9
- symmetry = Immm (71)
- energy relative to the elements, uncorrected (kJ per mole of atoms) = -9.7
- ρ (g/cm³) = 4.89

***

Entry 3:
A plane-wave DFT calculation with GGA-PBE was carried out for a relaxed ReGeSe3 crystal.

Lattice parameters (Å, degrees): 4.9090 4.9090 4.9090 90.00 90.00 90.00
Each line ends with the local moment (μB).
Element x y z (fractional)
Se (0.5000, 0.0000, 0.0000)  0.02
Se (0.0000, 0.0000, 0.5000)  -0.01
Se (0.0000, 0.5000, 0.0000)  0.01
Ge (0.5000, 0.5000, 0.5000)  0.13
Re (0.0000, 0.0000, 0.0000)  0.38

- density of states at the Fermi level (states/eV/f.u.) = 6.9
- symmetry = Pm-3m (221)
- energy relative to the elements, uncorrected (kJ per mole of atoms) = 56.6
- ρ (g/cm³) = 6.96

***

Entry 4:
A plane-wave DFT calculation with GGA-PBE was carried out for a relaxed CePaV crystal.

Lattice parameters (Å, degrees): 3.4026 3.4026 6.0270 106.40 106.40 90.00
Each line ends with the local moment (μB).
Element x y z (fractional)
Ce (0.3325, 0.3325, 0.6651)  -0.02
V (0.6512, 0.6512, 0.3024)  0.21
Pa (0.0163, 0.0163, 0.0326)  0.01

- final energy (eV per atom) = -8.007
- density of states at the Fermi level (states/eV/f.u.) = 5.9
- symmetry = I4mm (107)
- ρ (g/cm³) = 10.96

***

What is the formula in the first record? Er2ThCo2